The following is a DFT calculation (PBE) of a relaxed CaPSeCl2 crystal.

Cell and atoms, written as POSCAR:
```
CaPSeCl2
1.0
5.082 0.000 0.000
0.000 5.082 0.000
0.000 0.000 4.977
Ca P Se Cl
1 1 1 2
Direct
0.000 0.000 0.000 Ca
0.500 0.500 0.000 P
0.500 0.500 0.500 Se
0.000 0.500 0.500 Cl
0.500 0.000 0.500 Cl
```

Summary:
formation energy (no corrections) = -308 meV per atom
N(E_F) = 2.64 states/eV/cell
symmetry = P4/mmm, No. 123